Entry from Alexandria via LeMat-Bulk: a relaxed structure of La2HoPuSe4 (PBE).

```
La2HoPuSe4
1.0
7.271 0.000 0.000
0.000 4.183 0.000
-2.402 0.000 6.927
La Ho Pu Se
2 1 1 4
Cartesian
0.000 0.000 0.000
3.635 2.091 0.000
-1.201 2.091 3.463
2.434 0.000 3.463
-0.012 0.000 5.073
1.193 2.091 1.837
3.676 2.091 5.089
4.880 0.000 1.853
```

E_tot, eV per atom: -7.160
Mass density, Mg/m³: 7.90
Formation energy without anion corrections, eV/atom: -1.82